Entry 1:
AlTePOs2, relaxed, DFT PBE; raw total energy = -4.674 eV per atom; uncorrected formation energy = 2.277 eV/atom; N(E_F) = 4.830 states/eV/f.u.
1.0
4.855 0.000 0.000
0.000 5.031 0.000
0.000 0.000 4.855
Al Os Te P
1 2 1 1
direct
0.000 0.500 0.000
0.500 0.000 0.000
0.000 0.000 0.500
0.000 0.000 0.000
0.500 0.500 0.500



Entry 2:
AlV2POs, relaxed, DFT PBE; formation energy from the elements = 898 meV per atom; raw total energy = -6.825 eV per atom; N(E_F) = 6.018 states/eV/f.u.
1.0
-2.339 3.727 -1.529
-3.140 -0.569 3.417
2.538 2.736 2.788
Al V P Os
1 2 1 1
direct
0.000 0.500 0.000
0.000 0.000 0.500
0.500 0.000 0.000
0.500 0.500 0.500
0.000 0.000 0.000



Entry 3:
ZrAlPOs2, relaxed, DFT PBE; formation energy from the elements = 1307 meV per atom; raw total energy = -6.725 eV per atom; N(E_F) = 2.593 states/eV/f.u.
1.0
4.400 0.000 0.000
0.000 4.984 0.000
0.000 0.000 4.400
Os P Zr Al
2 1 1 1
direct
0.500 0.000 0.000
0.000 0.000 0.500
0.500 0.500 0.500
0.000 0.500 0.000
0.000 0.000 0.000



Entry 4:
PaAlOs, relaxed, DFT PBE; formation energy from the elements = -555 meV per atom; raw total energy = -8.711 eV per atom; N(E_F) = 2.694 states/eV/f.u.
1.0
-3.813 0.304 -1.541
2.115 -3.117 -5.848
-2.753 -10.704 4.702
Al Pa Os
6 6 6
direct
0.250 0.865 0.460
0.250 0.003 0.084
0.250 0.370 0.198
0.750 0.135 0.540
0.750 0.997 0.916
0.750 0.630 0.802
0.250 0.464 0.627
0.750 0.663 0.083
0.750 0.536 0.373
0.250 0.959 0.711
0.750 0.041 0.289
0.250 0.337 0.917
0.250 0.755 0.915
0.750 0.251 0.750
0.250 0.249 0.417
0.750 0.751 0.583
0.250 0.749 0.250
0.750 0.245 0.085